BeCu2Cl after structural relaxation. Source: Alexandria via LeMat-Bulk, functional PBE-GGA.

abc: 4.980 7.611 2.837
angles: 90.00 90.00 90.00
Fractional positions:
Be1 0.000 0.000 0.000
Be2 0.500 0.500 0.000
Cu1 0.250 0.250 0.500
Cu2 0.250 0.750 0.500
Cu3 0.750 0.250 0.500
Cu4 0.750 0.750 0.500
Cl1 0.000 0.500 0.000
Cl2 0.500 0.000 0.000

* density of states at the Fermi level: 0.28 states/eV/atom
* formation energy from raw total energies: 0.4206 eV/atom
* electronic total energy: -24.2 eV per cell
* SG: Cmmm, No. 65

Be2CuCl after structural relaxation. Source: Alexandria via LeMat-Bulk, functional PBE-GGA.

abc: 2.897 2.897 6.145
angles: 90.00 90.00 90.00
Fractional positions:
Be1 0.000 0.000 0.186
Be2 0.000 0.000 0.814
Cu1 0.500 0.500 0.000
Cl1 0.500 0.500 0.500

* density of states at the Fermi level: 0.19 states/eV/atom
* formation energy from raw total energies: 0.2882 eV/atom
* electronic total energy: -12.2 eV per cell
* SG: P4/mmm, No. 123

Be2CuCl after structural relaxation. Source: Alexandria via LeMat-Bulk, functional PBE-GGA.

abc: 3.314 3.314 10.307
angles: 90.00 90.00 90.00
Fractional positions:
Be1 0.000 0.500 0.250
Be2 0.000 0.500 0.750
Be3 0.500 0.000 0.250
Be4 0.500 0.000 0.750
Cu1 0.000 0.000 0.000
Cu2 0.500 0.500 0.500
Cl1 0.000 0.000 0.500
Cl2 0.500 0.500 0.000

* density of states at the Fermi level: 0.14 states/eV/atom
* formation energy from raw total energies: 0.6425 eV/atom
* electronic total energy: -21.7 eV per cell
* SG: I4/mmm, No. 139

BeCu2Cl after structural relaxation. Source: Alexandria via LeMat-Bulk, functional PBE-GGA.

abc: 2.953 2.953 21.491
angles: 90.00 90.00 120.00
Fractional positions:
Be1 0.000 0.000 0.000
Be2 0.333 0.667 0.667
Be3 0.667 0.333 0.333
Cu1 0.000 0.000 0.257
Cu2 0.000 0.000 0.743
Cu3 0.333 0.667 0.410
Cu4 0.333 0.667 0.924
Cu5 0.667 0.333 0.076
Cu6 0.667 0.333 0.590
Cl1 0.000 0.000 0.500
Cl2 0.333 0.667 0.167
Cl3 0.667 0.333 0.833

* density of states at the Fermi level: 0.22 states/eV/atom
* formation energy from raw total energies: 0.2116 eV/atom
* electronic total energy: -38.8 eV per cell
* SG: R-3m, No. 166

BeCu2Cl after structural relaxation. Source: Alexandria via LeMat-Bulk, functional PBE-GGA.

abc: 6.324 3.655 6.272
angles: 90.00 109.91 90.00
Fractional positions:
Be1 0.000 0.000 0.000
Be2 0.500 0.500 0.000
Cu1 0.125 0.500 0.877
Cu2 0.375 0.000 0.123
Cu3 0.625 0.000 0.877
Cu4 0.875 0.500 0.123
Cl1 0.000 0.500 0.500
Cl2 0.500 0.000 0.500

* density of states at the Fermi level: 0.26 states/eV/atom
* formation energy from raw total energies: 0.0639 eV/atom
* electronic total energy: -27.0 eV per cell
* SG: C2/m, No. 12

BeCuCl4 after structural relaxation. Source: Alexandria via LeMat-Bulk, functional PBE-GGA.

abc: 6.421 6.421 8.696
angles: 90.00 90.00 90.00
Fractional positions:
Be1 0.000 0.500 0.000
Be2 0.500 0.000 0.500
Cu1 0.000 0.000 0.000
Cu2 0.000 0.000 0.500
Cl1 0.231 0.267 0.000
Cl2 0.231 0.733 0.000
Cl3 0.267 0.231 0.500
Cl4 0.267 0.769 0.500
Cl5 0.733 0.231 0.500
Cl6 0.733 0.769 0.500
Cl7 0.769 0.267 0.000
Cl8 0.769 0.733 0.000

* density of states at the Fermi level: 0.36 states/eV/atom
* formation energy from raw total energies: -0.7852 eV/atom
* electronic total energy: -39.8 eV per cell
* SG: P4_2/mmc, No. 131